(1)
VASP calculation (PBE) on a geometry-optimized SmGeAsO structure.

The structure in extended XYZ format:
```
8
Lattice="-4.3981 0.5150 -0.0596 -0.5862 -5.2032 -1.7088 -0.3129 -1.9670 6.0966" Properties=species:S:1:pos:R:3 pbc="T T T"
As -0.3001 -2.0225 4.6722
Sm -2.3668 -1.1592 0.1092
As -0.6249 -5.3108 0.2209
Ge -0.3528 -2.7585 2.1949
O -2.5651 -2.6571 1.7979
O -2.8341 -4.6394 4.5182
Ge -0.6777 -5.2374 4.7521
Sm -2.8299 -4.8651 2.2634
```

Summary:
ΔE to the lowest computed polymorph (eV/f.u.): 0.64
DFT total energy (eV/atom): -6.05

(2)
VASP calculation (PBE) on a geometry-optimized TmGeAsO structure.

The structure in extended XYZ format:
```
8
Lattice="5.5903 0.0000 0.0000 0.0000 5.5903 0.0000 0.0000 0.0000 4.8691" Properties=species:S:1:pos:R:3 pbc="T T T"
Tm 4.1927 1.3976 2.4345
O 4.1927 1.3976 0.0000
Tm 1.3976 4.1927 2.4345
As 1.3976 1.3976 2.4633
O 1.3976 4.1927 0.0000
Ge 1.3976 1.3976 0.0264
Ge 4.1927 4.1927 4.8426
As 4.1927 4.1927 2.4058
```

Summary:
ΔE to the lowest computed polymorph (eV/f.u.): 2.06
DFT total energy (eV/atom): -5.66

(3)
VASP calculation (PBE) on a geometry-optimized TmGeAsO structure.

The structure in extended XYZ format:
```
8
Lattice="-0.4506 4.1119 -0.5300 -5.5908 -0.4363 1.3673 1.3446 0.8928 5.7829" Properties=species:S:1:pos:R:3 pbc="T T T"
Ge 0.6142 0.8128 5.7832
As -2.0174 0.0702 2.2596
As -2.1240 0.4558 5.3416
Ge -4.2665 0.0379 3.9210
Tm -0.8710 2.4702 3.4977
Tm -4.2565 1.8121 1.2698
O -4.8864 2.0107 3.3462
O 0.6048 2.8332 5.0592
```

Summary:
ΔE to the lowest computed polymorph (eV/f.u.): 0.71
DFT total energy (eV/atom): -5.99

Respective magnetization values: 0.008 0.000 0.006 Bohr magnetons per cell.